(1)
CeYFe17 | PBEsol | relaxed

The calculation puts the raw total energy at -0.6388 Ry per atom. For the formation energy, the calculation gives 0.035 eV per atom. The crystal system is hexagonal. The total magnetization comes out at 27.8 μB per formula unit.

The space group is P6_3/mmc (No. 194) and the conventional cell measures 8.1777, 8.1777 and 8.0532 Å, with angles of 90.00, 90.00 and 120.00 degrees. The distinct sites, in fractional coordinates, are Ce at (0.3333, 0.6667, 0.2500), Y at (0.0000, 0.0000, 0.2500), Fe at (0.0000, 0.5000, 0.0000), Fe at (0.0419, 0.3713, 0.7500), Fe at (0.1647, 0.3294, 0.0101) and Fe at (0.3333, 0.6667, 0.6076).

=====

(2)
SnH4 | PBEsol | relaxed

The calculation puts the raw total energy at -0.2422 Ry per atom. The crystal system is orthorhombic. The total magnetization comes out at 0.0 μB per formula unit.

The space group is Cmcm (No. 63) and the conventional cell measures 4.168, 10.621 and 4.473 Å, with angles of 90.00, 90.00 and 90.00 degrees. The distinct sites, in fractional coordinates, are Sn at (0.000, 0.245, 0.250), H at (0.000, 0.020, 0.250), H at (0.000, 0.054, 0.750) and H at (0.000, 0.463, 0.508).

=====

(3)
HgBiMoP2 | PBEsol | relaxed

The calculation puts the raw total energy at -0.2998 Ry per atom. For the formation energy, the calculation gives 1.561 eV per atom. The crystal system is tetragonal. The total magnetization comes out at 3.3 μB per formula unit.

The space group is P4/mmm (No. 123) and the conventional cell measures 4.849, 4.849 and 5.240 Å, with angles of 90.00, 90.00 and 90.00 degrees. The distinct sites, in fractional coordinates, are Hg at (0.000, 0.000, 0.000), Bi at (0.500, 0.500, 0.500), Mo at (0.000, 0.000, 0.500) and P at (0.000, 0.500, 0.000).

=====

Which of these has the lowest raw total energy?
CeYFe17

=====

Which value of raw total energy does entry 3 give?
-0.2998 Ry per atom